1.
Material: KMn4Tc
Method: DFT, PBE
State: optimized geometry

## Properties
E in eV per atom: -6.985
N(E_F) in states/eV per cell: 33.71

Cell lengths 7.004, 7.004, 7.004 Å; angles 90.00, 90.00, 90.00 degrees
Space group F-43m (No. 216)
Inequivalent atoms, fractional coordinates:
K (0.000, 0.000, 0.000)
Mn (0.125, 0.125, 0.625)
Tc (0.250, 0.250, 0.250)

***

2.
Material: Cu7Ni2Pd
Method: DFT, PBE
State: optimized geometry

## Properties
E in eV per atom: -4.053
N(E_F) in states/eV per cell: 14.27

Cell lengths 6.518, 11.965, 3.969 Å; angles 90.00, 90.00, 90.00 degrees
Space group Cmmm (No. 65)
Inequivalent atoms, fractional coordinates:
Cu (0.000, 0.000, 0.000)
Cu (0.000, 0.293, 0.500)
Cu (0.185, 0.391, 0.000)
Ni (0.000, 0.202, 0.000)
Pd (0.000, 0.500, 0.500)

***

3.
Material: Y2Er2Mg15
Method: DFT, PBE
State: optimized geometry

## Properties
E in eV per atom: -2.397
N(E_F) in states/eV per cell: 41.05

Cell lengths 10.4435, 10.4435, 15.2669 Å; angles 90.00, 90.00, 120.00 degrees
Space group R-3m (No. 166, hexagonal axes)
Inequivalent atoms, fractional coordinates:
Y (0.0000, 0.0000, 0.1706)
Er (0.0000, 0.0000, 0.3994)
Mg (0.0000, 0.2987, 0.5000)
Mg (0.0000, 0.5000, 0.0000)
Mg (0.0095, 0.5048, 0.6471)